Entry 1:
A plane-wave DFT calculation with PBE-GGA was carried out for crystalline ThSc2S6 at its relaxed geometry.

## Properties
Electronic total energy (eV for the cell shown): -59.566
Total moment (μB/atom): 0.0000

The structure in POSCAR format:
```
ThSc2S6
1.0
6.0322 -2.6670 0.0000
6.0322 2.6670 0.0000
-5.4310 0.0000 6.7387
Th Sc S
1 2 6
Cartesian
0.0000 0.0000 0.0000 Th
-0.9917 0.0000 3.8394 Sc
7.6251 0.0000 2.8993 Sc
-3.2117 0.0000 5.0430 S
1.2247 0.0000 2.5877 S
-0.4431 0.0000 6.4859 S
7.0764 0.0000 0.2528 S
5.4086 0.0000 4.1510 S
9.8451 0.0000 1.6956 S
```

=====

Entry 2:
A plane-wave DFT calculation with PBE-GGA was carried out for crystalline Th5ScS6 at its relaxed geometry.

## Properties
Electronic total energy (eV for the cell shown): -90.035
Total moment (μB/atom): 0.0000

The structure in POSCAR format:
```
Th5ScS6
1.0
3.4641 -5.9834 0.0000
3.4641 5.9834 0.0000
-2.3044 0.0000 6.5214
Th Sc S
5 1 6
Cartesian
0.0000 0.0000 0.0000 Th
2.3118 3.9983 3.2607 Th
3.4641 2.0671 0.0000 Th
3.4641 -2.0671 0.0000 Th
2.3118 -3.9983 3.2607 Th
2.3118 0.0000 3.2607 Sc
1.2195 1.8938 1.7226 S
0.1210 0.0000 4.8622 S
1.2195 -1.8938 1.7226 S
3.4042 1.8938 4.7988 S
4.5027 0.0000 1.6592 S
3.4042 -1.8938 4.7988 S
```

=====

Entry 3:
A plane-wave DFT calculation with PBE-GGA was carried out for crystalline Th3ScS4 at its relaxed geometry.

## Properties
Electronic total energy (eV for the cell shown): -119.175
Total moment (μB/atom): 0.0000

The structure in POSCAR format:
```
Th3ScS4
1.0
6.8926 0.0000 0.0000
0.0000 8.0587 0.0000
-2.3458 0.0000 6.3681
Th Sc S
6 2 8
Cartesian
-0.5865 0.9985 1.5920 Th
-1.7594 3.0175 4.7761 Th
-0.5865 5.0412 1.5920 Th
-1.7594 7.0602 4.7761 Th
1.6870 1.0166 4.7761 Th
2.8599 7.0421 1.5920 Th
2.8599 3.0345 1.5920 Sc
1.6870 5.0242 4.7761 Sc
1.7795 1.0998 0.0767 S
0.6066 6.9589 3.2607 S
0.6865 3.1069 3.1783 S
-0.4864 4.9518 6.3623 S
5.0332 3.1069 0.0058 S
3.8603 4.9518 3.1898 S
3.9402 1.0998 3.1074 S
2.7673 6.9589 6.2914 S
```

=====

Entry 4:
A plane-wave DFT calculation with PBE-GGA was carried out for crystalline Th3ScS6 at its relaxed geometry.

## Properties
Electronic total energy (eV for the cell shown): -144.041
Total moment (μB/atom): 0.0000

The structure in POSCAR format:
```
Th3ScS6
1.0
6.0794 3.5100 3.7974
-6.0794 3.5100 3.7974
0.0000 -7.0199 3.7974
Th Sc S
6 2 12
Cartesian
-4.0954 -1.1006 5.8653 Th
-1.0945 -4.0970 5.5269 Th
-3.0009 2.9964 5.5269 Th
3.0008 -2.9964 5.8653 Th
1.0945 4.0970 5.8653 Th
4.0954 1.1006 5.5269 Th
0.0000 0.0000 0.0000 Sc
0.0000 0.0000 5.6961 Sc
-3.7803 -3.8522 6.4169 S
-5.2262 1.3477 4.9753 S
-1.5506 -1.5705 4.3837 S
1.4459 -5.1999 4.9753 S
-0.5848 2.1281 4.3837 S
-2.1354 0.5576 7.0085 S
2.1354 -0.5576 4.3837 S
0.5848 -2.1281 7.0085 S
-1.4459 5.1999 6.4169 S
1.5506 1.5705 7.0086 S
5.2262 -1.3477 6.4169 S
3.7803 3.8522 4.9753 S
```

=====

Entry 5:
A plane-wave DFT calculation with PBE-GGA was carried out for crystalline ThSc4S5 at its relaxed geometry.

## Properties
Electronic total energy (eV for the cell shown): -71.513
Total moment (μB/atom): 0.0000

The structure in POSCAR format:
```
ThSc4S5
1.0
-1.8642 2.7021 9.4870
1.8642 -2.7021 9.4870
1.8642 2.7021 -9.4870
Th Sc S
1 4 5
Cartesian
0.0000 0.0000 0.0000 Th
0.0000 0.0000 3.8830 Sc
0.0000 0.0000 7.6313 Sc
0.0000 0.0000 11.3427 Sc
0.0000 0.0000 15.0910 Sc
1.8642 0.0000 2.1258 S
1.8642 0.0000 5.7329 S
0.0000 2.7021 0.0000 S
0.0000 2.7021 3.7541 S
0.0000 2.7021 7.3612 S
```

=====

Entry 6:
A plane-wave DFT calculation with PBE-GGA was carried out for crystalline ThScS4 at its relaxed geometry.

## Properties
Electronic total energy (eV for the cell shown): -79.357
Total moment (μB/atom): 0.0000

The structure in POSCAR format:
```
ThScS4
1.0
5.2753 0.0000 0.0000
0.0000 6.6837 0.0000
0.0000 0.0000 7.3680
Th Sc S
2 2 8
Cartesian
0.0000 0.0000 0.0000 Th
2.6377 0.0000 3.6840 Th
0.0000 3.3419 3.6840 Sc
2.6377 3.3419 0.0000 Sc
0.0000 1.1045 2.5993 S
0.0000 5.5792 4.7687 S
1.3188 2.0617 5.5260 S
1.3188 4.6220 1.8420 S
2.6377 1.1045 1.0847 S
2.6377 5.5792 6.2833 S
3.9565 2.0617 5.5260 S
3.9565 4.6220 1.8420 S
```

=====

- electronic total energy of number 3 (Th3ScS4)?
  -119.175 eV for the cell shown

=====

- What is the total moment in the fifth record?
  0.0000 μB/atom

=====

- Which value of total moment does entry 2 give?
  0.0000 μB/atom

=====

- What is the formula in the second record?
  Th5ScS6